Entry 1:
# Ho6Si2Ni

Ho6Si2Ni after structural relaxation (GGA-PBE, the Open Quantum Materials Database).

Symmetry   No. 189

abc: 7.7526 7.7526 4.1326
angles: 90.00 90.00 120.00
With the nearest neighbours (Å) after each atom.
Fractional coordinates of all 9 atoms:
Ho1 0.4105 0.4105 0.0000  4 Si 3.12, 1 Ni 3.18, 6 Ho 3.34-3.46
Ho2 0.7489 0.7489 0.5000  2 Ni 2.84, 2 Si 2.95
Ni1 0.0000 0.0000 0.0000  6 Ho 2.84
Ho3 0.0000 0.5895 0.0000  4 Si 3.12, 1 Ni 3.18, 6 Ho 3.34-3.46
Si1 0.6667 0.3333 0.5000  9 Ho 2.95-3.12
Ho4 0.5895 0.0000 0.0000  4 Si 3.12, 1 Ni 3.18, 6 Ho 3.34-3.46
Ho5 0.0000 0.2511 0.5000  2 Ni 2.84, 2 Si 2.95
Si2 0.3333 0.6667 0.5000  9 Ho 2.95-3.12
Ho6 0.2511 0.0000 0.5000  2 Ni 2.84, 2 Si 2.95



Entry 2:
# Ho2SiNi

Ho2SiNi after structural relaxation (GGA-PBE, the Open Quantum Materials Database).

Symmetry   No. 11

abc: 5.5679 3.8284 7.7387
angles: 90.00 91.05 90.00
With the nearest neighbours (Å) after each atom.
Fractional coordinates of all 8 atoms:
Si1 0.3704 0.2500 0.4636  2 Si 2.46
Si2 0.6296 0.7500 0.5364  2 Si 2.46
Ho1 0.3772 0.7500 0.1681  4 Ni 2.83-2.99, 3 Si 2.98-3.15
Ho2 0.8779 0.2500 0.3061  3 Ni 2.85-2.98, 4 Si 2.97-3.10
Ni1 0.8777 0.7500 0.0337  2 Ni 2.41
Ho3 0.6228 0.2500 0.8319  4 Ni 2.83-2.99, 3 Si 2.98-3.15
Ho4 0.1221 0.7500 0.6939  3 Ni 2.85-2.98, 4 Si 2.97-3.10
Ni2 0.1223 0.2500 0.9663  2 Ni 2.41



Entry 3:
# Ho2SiNi

Ho2SiNi after structural relaxation (GGA-PBE, the Open Quantum Materials Database).

Symmetry   No. 26

abc: 4.1092 5.5697 7.2718
angles: 90.00 90.00 90.00
With the nearest neighbours (Å) after each atom.
Fractional coordinates of all 8 atoms:
Ho1 0.0000 0.8877 0.6781  3 Si 2.88-3.07, 4 Ni 2.90-2.94
Ho2 0.0000 0.1123 0.1781  3 Si 2.88-3.07, 4 Ni 2.90-2.94
Ho3 0.5000 0.3824 0.8205  3 Ni 2.91-3.05, 4 Si 2.92-2.93
Ho4 0.5000 0.6176 0.3205  3 Ni 2.91-3.05, 4 Si 2.92-2.93
Si1 0.0000 0.6302 0.0349  2 Ni 2.50
Ni1 0.5000 0.8688 0.9666  2 Si 2.50
Ni2 0.5000 0.1312 0.4666  2 Si 2.50
Si2 0.0000 0.3698 0.5349  2 Ni 2.50



Entry 4:
# HoSi4Ni3

HoSi4Ni3 after structural relaxation (GGA-PBE, the Open Quantum Materials Database).

Symmetry   No. 6

abc: 3.9121 3.9389 7.4514
angles: 90.00 92.32 90.00
With the nearest neighbours (Å) after each atom.
Fractional coordinates of all 8 atoms:
Ni1 0.5588 0.5000 0.8703  4 Si 2.30-2.47, 2 Ni 2.49
Si1 0.6303 0.5000 0.5205  4 Ni 2.29-2.36
Ni2 0.6727 0.0000 0.6767  6 Si 2.29-2.37, 2 Ni 2.49
Ho1 0.6112 0.0000 0.1924  9 Si 2.95-3.14, 6 Ni 2.99-3.10
Si2 0.1804 0.0000 0.8476  4 Ni 2.32-2.47, 3 Si 2.48-2.54
Ni3 0.1189 0.5000 0.3455  5 Si 2.27-2.36
Si3 0.1469 0.0000 0.5058  4 Ni 2.29-2.37, 1 Si 2.54
Si4 0.0807 0.5000 0.0410  3 Ni 2.27-2.36, 2 Si 2.48



Entry 5:
# HoSi3Ni5

HoSi3Ni5 after structural relaxation (GGA-PBE, the Open Quantum Materials Database).

Symmetry   No. 62

abc: 18.6428 3.7754 6.6080
angles: 90.00 90.00 90.00
With the nearest neighbours (Å) after each atom.
Fractional coordinates of all 36 atoms:
Si1 0.0754 0.2500 0.3453  7 Ni 2.25-2.43
Ho1 0.8557 0.2500 0.3775  6 Si 2.91-2.93, 11 Ni 2.96-3.25
Ni1 0.2942 0.7500 0.4296  4 Si 2.25-2.35
Ni2 0.3856 0.2500 0.6424  5 Si 2.29-2.47, 1 Ni 2.54
Si2 0.5754 0.2500 0.1547  7 Ni 2.25-2.43
Si3 0.2372 0.7500 0.1209  7 Ni 2.29-2.39
Ni3 0.7942 0.7500 0.0704  4 Si 2.25-2.35
Ni4 0.9859 0.2500 0.1174  4 Si 2.25-2.32, 2 Ni 2.50
Ni5 0.6144 0.7500 0.3576  5 Si 2.29-2.47, 1 Ni 2.54
Ni6 0.7000 0.2500 0.1850  4 Si 2.33-2.39, 1 Ni 2.55
Si4 0.2628 0.2500 0.6209  7 Ni 2.29-2.39
Ho2 0.3557 0.2500 0.1225  6 Si 2.91-2.93, 11 Ni 2.96-3.25
Ni7 0.4859 0.2500 0.3826  4 Si 2.25-2.32, 2 Ni 2.50
Si5 0.7372 0.7500 0.3791  7 Ni 2.29-2.39
Ni8 0.2000 0.2500 0.3150  4 Si 2.33-2.39, 1 Ni 2.55
Si6 0.0854 0.2500 0.9147  7 Ni 2.25-2.47
Ni9 0.0051 0.2500 0.6314  4 Si 2.30-2.42, 4 Ni 2.52-2.57
Ni10 0.8000 0.7500 0.6850  4 Si 2.33-2.39, 1 Ni 2.55
Si7 0.4246 0.7500 0.8453  7 Ni 2.25-2.43
Si8 0.9146 0.7500 0.0853  7 Ni 2.25-2.47
Ni11 0.4949 0.7500 0.1314  4 Si 2.30-2.42, 4 Ni 2.52-2.57
Ni12 0.5141 0.7500 0.6174  4 Si 2.25-2.32, 2 Ni 2.50
Ni13 0.1144 0.7500 0.1424  5 Si 2.29-2.47, 1 Ni 2.54
Ni14 0.3000 0.7500 0.8150  4 Si 2.33-2.39, 1 Ni 2.55
Si9 0.4146 0.7500 0.4147  7 Ni 2.25-2.47
Ni15 0.2058 0.2500 0.9296  4 Si 2.25-2.35
Ni16 0.5051 0.2500 0.8686  4 Si 2.30-2.42, 4 Ni 2.52-2.57
Ni17 0.7058 0.2500 0.5704  4 Si 2.25-2.35
Ni18 0.0141 0.7500 0.8826  4 Si 2.25-2.32, 2 Ni 2.50
Ho3 0.6443 0.7500 0.8775  6 Si 2.91-2.93, 11 Ni 2.96-3.25
Si10 0.7628 0.2500 0.8791  7 Ni 2.29-2.39
Si11 0.5854 0.2500 0.5853  7 Ni 2.25-2.47
Ni19 0.8856 0.2500 0.8576  5 Si 2.29-2.47, 1 Ni 2.54
Si12 0.9246 0.7500 0.6547  7 Ni 2.25-2.43
Ni20 0.9949 0.7500 0.3686  4 Si 2.30-2.42, 4 Ni 2.52-2.57
Ho4 0.1443 0.7500 0.6225  6 Si 2.91-2.93, 11 Ni 2.96-3.25



Entry 6:
# Ho4Si3Ni

Ho4Si3Ni after structural relaxation (GGA-PBE, the Open Quantum Materials Database).

Symmetry   No. 6

abc: 5.6630 3.8914 7.6470
angles: 90.00 91.03 90.00
With the nearest neighbours (Å) after each atom.
Fractional coordinates of all 8 atoms:
Si1 0.8738 0.0000 0.9575  2 Si 2.49
Ni1 0.6166 0.0000 0.4665  2 Si 2.44
Si2 0.3779 0.5000 0.5369  2 Ni 2.44
Si3 0.1280 0.5000 0.0355  2 Si 2.49
Ho1 0.1191 0.0000 0.3257  5 Si 2.91-3.12, 2 Ni 3.00-3.06
Ho2 0.8748 0.5000 0.6614  2 Ni 2.84, 5 Si 2.95-3.18
Ho3 0.6264 0.5000 0.1964  2 Ni 2.84, 5 Si 2.98-3.12
Ho4 0.3834 0.0000 0.8202  6 Si 2.91-3.09, 1 Ni 3.03



Entry 7:
# Ho2SiNi

Ho2SiNi after structural relaxation (GGA-PBE, the Open Quantum Materials Database).

Symmetry   No. 31

abc: 4.0979 7.2262 5.6111
angles: 90.00 90.00 90.00
With the nearest neighbours (Å) after each atom.
Fractional coordinates of all 8 atoms:
Ni1 0.0000 0.2800 0.3858  2 Si 2.51
Ni2 0.5000 0.7200 0.8858  2 Si 2.51
Ho1 0.5000 0.0864 0.1270  3 Ni 2.87-2.97, 4 Si 2.94-2.95
Si1 0.0000 0.7927 0.1266  2 Ni 2.51
Si2 0.5000 0.2073 0.6266  2 Ni 2.51
Ho2 0.0000 0.4411 0.8607  4 Ni 2.88-3.17, 3 Si 2.95-2.96
Ho3 0.0000 0.9136 0.6270  3 Ni 2.87-2.97, 4 Si 2.94-2.95
Ho4 0.5000 0.5589 0.3607  4 Ni 2.88-3.17, 3 Si 2.95-2.96



Entry 8:
# SmHoSi2Ni2

SmHoSi2Ni2 after structural relaxation (GGA-PBE, the Open Quantum Materials Database).

Symmetry   No. 99

abc: 4.0847 4.0847 6.5248
angles: 90.00 90.00 90.00
With the nearest neighbours (Å) after each atom.
Fractional coordinates of all 6 atoms:
Ni1 0.0000 0.5000 0.9970  4 Si 2.38-2.39
Si1 0.5000 0.5000 0.8082  4 Ni 2.39
Ni2 0.5000 0.0000 0.9970  4 Si 2.38-2.39
Ho1 0.0000 0.0000 0.6891  4 Ni 2.87, 4 Si 2.99
Sm1 0.5000 0.5000 0.3236  4 Ni 2.95, 5 Si 3.03-3.16
Si2 0.0000 0.0000 0.1851  4 Ni 2.38



Entry 9:
# Tb2HoSi4Ni4

Tb2HoSi4Ni4 after structural relaxation (GGA-PBE, the Open Quantum Materials Database).

Symmetry   No. 71

abc: 7.7059 7.7059 7.7059
angles: 149.51 129.72 59.95
With the nearest neighbours (Å) after each atom.
Fractional coordinates of all 11 atoms:
Ho1 0.0000 0.0000 0.0000  6 Si 2.88-2.90
Si1 0.3116 0.5000 0.8116  1 Si 2.47, 2 Ni 2.47
Ni1 0.9809 0.6764 0.3045  4 Si 2.45-2.47, 1 Ni 2.56
Si2 0.2169 0.2169 0.0000  6 Ni 2.45-2.46
Ni2 0.3720 0.6764 0.6955  4 Si 2.45-2.47, 1 Ni 2.56
Tb1 0.6292 0.1292 0.5000  6 Si 2.89-2.93, 6 Ni 2.89-2.91
Ni3 0.6280 0.3236 0.3045  4 Si 2.45-2.47, 1 Ni 2.56
Ni4 0.0191 0.3236 0.6955  4 Si 2.45-2.47, 1 Ni 2.56
Tb2 0.3708 0.8708 0.5000  6 Si 2.89-2.93, 6 Ni 2.89-2.91
Si3 0.7831 0.7831 0.0000  6 Ni 2.45-2.46
Si4 0.6884 0.5000 0.1884  1 Si 2.47, 2 Ni 2.47



Entry 10:
# TbHoSi4Ni2

TbHoSi4Ni2 after structural relaxation (GGA-PBE, the Open Quantum Materials Database).

Symmetry   No. 38

abc: 3.9707 8.4208 8.4208
angles: 27.37 90.00 90.00
With the nearest neighbours (Å) after each atom.
Fractional coordinates of all 8 atoms:
Si1 0.0000 0.2503 0.2503  4 Ni 2.31-2.32
Ni1 0.5000 0.1779 0.1779  5 Si 2.26-2.32
Si2 0.0000 0.9597 0.9597  1 Ni 2.25, 2 Si 2.38
Tb1 0.0000 0.6053 0.6053  10 Si 3.01-3.11, 4 Ni 3.05
Ho1 0.5000 0.3944 0.3944  10 Si 3.01-3.10, 4 Ni 3.05
Ni2 0.0000 0.8224 0.8224  5 Si 2.25-2.32
Si3 0.5000 0.7503 0.7503  4 Ni 2.31-2.32
Si4 0.5000 0.0397 0.0397  1 Ni 2.26, 2 Si 2.38



Entry 11:
# Ho4TlSi4Ni2

Ho4TlSi4Ni2 after structural relaxation (GGA-PBE, the Open Quantum Materials Database).

Symmetry   No. 12

abc: 7.9263 7.9263 6.9436
angles: 108.05 108.05 30.42
With the nearest neighbours (Å) after each atom.
Fractional coordinates of all 11 atoms:
Si1 0.0644 0.0644 0.6524  1 Ni 2.31, 1 Si 2.38
Tl1 0.0000 0.0000 0.0000  4 Si 2.89-3.19
Ho1 0.3443 0.3443 0.0625  5 Si 2.90-3.09, 3 Ni 2.94-3.23
Ni1 0.7856 0.7856 0.3555  4 Si 2.31-2.48
Si2 0.9356 0.9356 0.3476  1 Ni 2.31, 1 Si 2.38
Ni2 0.2144 0.2144 0.6445  4 Si 2.31-2.48
Ho2 0.6557 0.6557 0.9375  5 Si 2.90-3.09, 3 Ni 2.94-3.23
Si3 0.2101 0.2101 0.2849  3 Ni 2.35-2.48
Si4 0.7899 0.7899 0.7151  3 Ni 2.35-2.48
Ho3 0.4102 0.4102 0.6128  7 Si 2.89-3.17, 3 Ni 2.99-3.07
Ho4 0.5898 0.5898 0.3872  7 Si 2.89-3.17, 3 Ni 2.99-3.07



Entry 12:
# SmHoNi4

SmHoNi4 after structural relaxation (GGA-PBE, the Open Quantum Materials Database).

Symmetry   No. 191

abc: 5.3681 5.3681 8.0068
angles: 90.00 90.00 120.00
With the nearest neighbours (Å) after each atom.
Fractional coordinates of all 12 atoms:
Sm1 0.0000 0.0000 0.0000  18 Ni 3.10-3.25
Ni1 0.5000 0.5000 0.7719  2 Ni 2.40, 2 Ho 2.67
Sm2 0.0000 0.0000 0.5000  6 Ho 3.10, 12 Ni 3.46
Ho1 0.6667 0.3333 0.5000  6 Ni 2.67
Ni2 0.6667 0.3333 0.0000  6 Ni 2.40
Ho2 0.3333 0.6667 0.5000  6 Ni 2.67
Ni3 0.5000 0.5000 0.2281  2 Ni 2.40, 2 Ho 2.67
Ni4 0.5000 0.0000 0.2281  2 Ni 2.40, 2 Ho 2.67
Ni5 0.0000 0.5000 0.7719  2 Ni 2.40, 2 Ho 2.67
Ni6 0.3333 0.6667 0.0000  6 Ni 2.40
Ni7 0.5000 0.0000 0.7719  2 Ni 2.40, 2 Ho 2.67
Ni8 0.0000 0.5000 0.2281  2 Ni 2.40, 2 Ho 2.67



The calculation returns the following final energy values, one per record and in order: -5.319 -5.650 -5.683 -5.970 -6.135 -5.748 -5.681 -5.977 -6.026 -6.093 -5.614 -5.299 eV per atom.